(1)
DFT (PBE) results for a relaxed structure of SrLa2Se3.

Properties
Formation energy without anion corrections ... -1.9888 eV/atom
Magnetization ... 0.00 μB per formula unit
DOS at the Fermi energy ... 2.6 states/eV per cell
Symmetry ... Immm

abc: 4.323 6.139 7.563
angles: 113.94 106.61 90.00
Atoms (fractional coordinates):
Sr1 0.000 0.500 0.000
La1 0.666 0.166 0.331
La2 0.334 0.834 0.669
Se1 0.332 0.332 0.664
Se2 0.000 0.000 0.000
Se3 0.668 0.668 0.336

=====

(2)
DFT (PBE) results for a relaxed structure of Rb2SbPd.

Properties
Formation energy without anion corrections ... -0.2715 eV/atom
Magnetization ... 0.00 μB per formula unit
DOS at the Fermi energy ... 6.5 states/eV per cell
Symmetry ... I-42d

abc: 13.289 13.289 9.728
angles: 46.92 46.92 90.00
Atoms (fractional coordinates):
Sb1 0.000 0.000 0.000
Sb2 0.750 0.250 0.500
Rb1 0.397 0.125 0.250
Rb2 0.353 0.625 0.250
Rb3 0.375 0.603 0.750
Rb4 0.875 0.647 0.750
Pd1 0.500 0.500 0.000
Pd2 0.250 0.750 0.500

=====

(3)
DFT (PBE) results for a relaxed structure of ZrMo4.

Properties
Distance to the lowest polymorph of the same formula ... 53.15 kcal/mol of atoms
Magnetization ... 0.00 μB per formula unit
Formation energy from the elements ... 2266 meV/atom
DOS at the Fermi energy ... 7.1 states/eV per cell
Symmetry ... Pm-3m

abc: 4.707 4.707 4.707
angles: 90.00 90.00 90.00
Atoms (fractional coordinates):
Mo1 0.000 0.000 0.000
Mo2 0.500 0.000 0.500
Mo3 0.000 0.500 0.500
Mo4 0.500 0.500 0.000
Zr1 0.500 0.500 0.500

=====

(4)
DFT (PBE) results for a relaxed structure of Tc2TeOs.

Properties
Distance to the lowest polymorph of the same formula ... 6.62 kcal/mol of atoms
Formation energy without anion corrections ... 0.7074 eV/atom
Magnetization ... 2.51 μB per formula unit
DOS at the Fermi energy ... 5.2 states/eV per cell
Symmetry ... P4/mmm

abc: 4.184 3.934 3.934
angles: 90.00 90.00 90.00
Atoms (fractional coordinates):
Os1 0.500 0.000 0.500
Tc1 0.000 0.000 0.000
Tc2 0.000 0.500 0.500
Te1 0.500 0.500 0.000

=====

Which of these has the highest DOS at the Fermi energy? ZrMo4